Material: Ca2MoPb
Method: DFT, PBE
State: relaxed

Lattice parameters (Å, degrees): 7.4493 7.4493 7.4493 90.00 90.00 90.00
Space group F-43m (No. 216)
Unique sites:
Ca (0.0000, 0.0000, 0.0000) [4 per cell]
Ca (0.2500, 0.2500, 0.2500) [4 per cell]
Mo (0.0000, 0.0000, 0.5000) [4 per cell]
Pb (0.2500, 0.2500, 0.7500) [4 per cell]

## Properties
magnetic moment = 0.897 μB/atom
DOS at the Fermi energy = 3.2 states/eV/f.u.
energy = -4.236 eV per atom



Material: CaMoPb4
Method: DFT, PBE
State: relaxed

Lattice parameters (Å, degrees): 9.0631 9.0631 9.0631 90.00 90.00 90.00
Space group F-43m (No. 216)
Unique sites:
Ca (0.0000, 0.0000, 0.0000) [4 per cell]
Mo (0.2500, 0.2500, 0.7500) [4 per cell]
Pb (0.1245, 0.1245, 0.3755) [16 per cell]

## Properties
magnetic moment = 0.587 μB/atom
DOS at the Fermi energy = 4.3 states/eV/f.u.
energy = -4.052 eV per atom



Material: CaMo2Pb
Method: DFT, PBE
State: relaxed

Lattice parameters (Å, degrees): 3.6314 4.6160 9.7258 90.00 90.00 90.00
Space group Immm (No. 71)
Unique sites:
Ca (0.0000, 0.0000, 0.0000) [2 per cell]
Mo (0.0000, 0.5000, 0.2451) [4 per cell]
Pb (0.0000, 0.0000, 0.5000) [2 per cell]

## Properties
magnetic moment = 0.000 μB/atom
DOS at the Fermi energy = 3.3 states/eV/f.u.
energy = -6.117 eV per atom



Material: Ca2MoPb
Method: DFT, PBE
State: relaxed

Lattice parameters (Å, degrees): 3.3278 5.0675 6.4444 90.00 104.87 90.00
Space group Pm (No. 6)
Unique sites:
Ca (0.0000, 0.0000, 0.0000) [1 per cell]
Ca (0.3262, 0.5000, 0.6561) [1 per cell]
Mo (0.6011, 0.5000, 0.2017) [1 per cell]
Pb (0.7211, 0.0000, 0.4456) [1 per cell]

## Properties
magnetic moment = 0.000 μB/atom
DOS at the Fermi energy = 3.1 states/eV/f.u.
energy = -4.247 eV per atom



Material: CaMo2Pb
Method: DFT, PBE
State: relaxed

Lattice parameters (Å, degrees): 3.5602 4.8110 9.7761 90.00 90.00 90.00
Space group Cmmm (No. 65)
Unique sites:
Ca (0.0000, 0.0000, 0.0000) [2 per cell]
Mo (0.0000, 0.5000, 0.2655) [4 per cell]
Pb (0.0000, 0.0000, 0.5000) [2 per cell]

## Properties
magnetic moment = 0.000 μB/atom
DOS at the Fermi energy = 3.3 states/eV/f.u.
energy = -5.939 eV per atom



Material: Ca2MoPb
Method: DFT, PBE
State: relaxed

Lattice parameters (Å, degrees): 3.1661 3.1661 10.0390 90.00 90.00 90.00
Space group P4/mmm (No. 123)
Unique sites:
Ca (0.0000, 0.0000, 0.2316) [2 per cell]
Mo (0.5000, 0.5000, 0.0000) [1 per cell]
Pb (0.5000, 0.5000, 0.5000) [1 per cell]

## Properties
magnetic moment = 0.000 μB/atom
DOS at the Fermi energy = 1.0 states/eV/f.u.
energy = -4.316 eV per atom



Material: CaMo3Pb
Method: DFT, PBE
State: relaxed

Lattice parameters (Å, degrees): 4.7384 4.7384 4.7384 90.00 90.00 90.00
Space group Pm-3m (No. 221)
Unique sites:
Ca (0.0000, 0.0000, 0.0000) [1 per cell]
Mo (0.0000, 0.0000, 0.5000) [3 per cell]
Pb (0.5000, 0.5000, 0.5000) [1 per cell]

## Properties
magnetic moment = 0.000 μB/atom
distance to the lowest polymorph of the same formula = 372 meV/atom
DOS at the Fermi energy = 9.2 states/eV/f.u.



Material: Ca2MoPb
Method: DFT, PBE
State: relaxed

Lattice parameters (Å, degrees): 3.9314 5.1944 10.5125 90.00 90.00 90.00
Space group Imm2 (No. 44)
Unique sites:
Ca (0.0000, 0.0000, 0.0000) [2 per cell]
Ca (0.0000, 0.5000, 0.2171) [2 per cell]
Mo (0.0000, 0.5000, 0.7620) [2 per cell]
Pb (0.0000, 0.0000, 0.4578) [2 per cell]

## Properties
magnetic moment = 0.433 μB/atom
DOS at the Fermi energy = 3.0 states/eV/f.u.
energy = -4.270 eV per atom